1.
## Nd2Y7Er3 (PBE)

Data for an optimized crystal structure of Nd2Y7Er3.

Unit cell a=6.366 b=3.524 c=17.506 alpha=90.00 beta=96.04 gamma=90.00
Space group P2/m (No. 10)
Unique sites:
Nd1 0.061 0.000 0.173 (multiplicity 2)
Y1 0.000 0.500 0.500 (multiplicity 1)
Y2 0.227 0.000 0.668 (multiplicity 2)
Y3 0.257 0.000 0.998 (multiplicity 2)
Y4 0.277 0.500 0.337 (multiplicity 2)
Er1 0.452 0.500 0.842 (multiplicity 2)
Er2 0.500 0.000 0.500 (multiplicity 1)

Properties
ΔE_f	0.079	eV/atom
electronic total energy	-67.520	eV for the cell shown
crystal system	monoclinic
M_tot	0.0	μB per formula unit

---

2.
## Nd2YEr3 (PBE)

Data for an optimized crystal structure of Nd2YEr3.

Unit cell a=17.102 b=5.578 c=10.012 alpha=90.00 beta=124.93 gamma=90.00
Space group C2/m (No. 12)
Unique sites:
Nd1 0.008 0.000 0.357 (multiplicity 4)
Nd2 0.229 0.500 0.371 (multiplicity 4)
Y1 0.134 0.500 0.637 (multiplicity 4)
Er1 0.049 0.500 0.894 (multiplicity 4)
Er2 0.113 0.000 0.154 (multiplicity 4)
Er3 0.209 0.000 0.926 (multiplicity 4)

Properties
ΔE_f	0.094	eV/atom
electronic total energy	-116.499	eV for the cell shown
crystal system	monoclinic
M_tot	0.0	μB per formula unit

---

3.
## Nd2Y7Er (PBE)

Data for an optimized crystal structure of Nd2Y7Er.

Unit cell a=6.207 b=6.212 c=9.488 alpha=102.61 beta=109.08 gamma=99.56
Space group P-1 (No. 2)
Unique sites:
Nd1 0.101 0.002 0.201 (multiplicity 2)
Y1 0.100 0.500 0.699 (multiplicity 2)
Y2 0.300 0.001 0.599 (multiplicity 2)
Y3 0.301 0.500 0.101 (multiplicity 2)
Y4 0.500 0.000 0.000 (multiplicity 1)
Er1 0.500 0.500 0.500 (multiplicity 1)

Properties
ΔE_f	0.021	eV/atom
electronic total energy	-59.141	eV for the cell shown
crystal system	triclinic
M_tot	0.0	μB per formula unit

---

4.
## Nd12YEr3 (PBE)

Data for an optimized crystal structure of Nd12YEr3.

Unit cell a=5.153 b=5.153 c=20.555 alpha=90.00 beta=90.00 gamma=90.00
Space group P4/mmm (No. 123)
Unique sites:
Nd1 0.000 0.000 0.000 (multiplicity 1)
Nd2 0.000 0.000 0.249 (multiplicity 2)
Nd3 0.000 0.000 0.500 (multiplicity 1)
Nd4 0.000 0.500 0.125 (multiplicity 4)
Nd5 0.000 0.500 0.374 (multiplicity 4)
Y1 0.500 0.500 0.500 (multiplicity 1)
Er1 0.500 0.500 0.000 (multiplicity 1)
Er2 0.500 0.500 0.249 (multiplicity 2)

Properties
ΔE_f	0.013	eV/atom
electronic total energy	-77.160	eV for the cell shown
crystal system	tetragonal
M_tot	0.0	μB per formula unit

---

5.
## NdY3Er (PBE)

Data for an optimized crystal structure of NdY3Er.

Unit cell a=3.638 b=11.632 c=8.516 alpha=90.00 beta=101.84 gamma=90.00
Space group P2_1/m (No. 11)
Unique sites:
Nd1 0.099 0.250 0.489 (multiplicity 2)
Y1 0.159 0.001 0.809 (multiplicity 4)
Y2 0.356 0.250 0.142 (multiplicity 2)
Er1 0.298 0.750 0.173 (multiplicity 2)

Properties
ΔE_f	0.291	eV/atom
electronic total energy	-54.539	eV for the cell shown
crystal system	monoclinic
M_tot	0.0	μB per formula unit

---

6.
## Nd2Y3Er3 (PBE)

Data for an optimized crystal structure of Nd2Y3Er3.

Unit cell a=23.909 b=3.595 c=6.220 alpha=90.00 beta=105.06 gamma=90.00
Space group C2/m (No. 12)
Unique sites:
Nd1 0.249 0.000 0.251 (multiplicity 4)
Y1 0.000 0.000 0.000 (multiplicity 2)
Y2 0.124 0.000 0.789 (multiplicity 4)
Er1 0.000 0.500 0.500 (multiplicity 2)
Er2 0.124 0.500 0.291 (multiplicity 4)

Properties
ΔE_f	0.005	eV/atom
electronic total energy	-85.160	eV for the cell shown
crystal system	monoclinic
M_tot	0.0	μB per formula unit

---

7.
## Nd3YEr12 (PBE)

Data for an optimized crystal structure of Nd3YEr12.

Unit cell a=5.012 b=5.012 c=20.059 alpha=90.00 beta=90.00 gamma=90.00
Space group P4/mmm (No. 123)
Unique sites:
Nd1 0.000 0.000 0.000 (multiplicity 1)
Nd2 0.000 0.000 0.250 (multiplicity 2)
Y1 0.000 0.000 0.500 (multiplicity 1)
Er1 0.000 0.500 0.125 (multiplicity 4)
Er2 0.000 0.500 0.376 (multiplicity 4)
Er3 0.500 0.500 0.000 (multiplicity 1)
Er4 0.500 0.500 0.251 (multiplicity 2)
Er5 0.500 0.500 0.500 (multiplicity 1)

Properties
ΔE_f	0.025	eV/atom
electronic total energy	-75.129	eV for the cell shown
crystal system	tetragonal
M_tot	0.0	μB per formula unit

---

8.
## Nd2Y3Er9 (PBE)

Data for an optimized crystal structure of Nd2Y3Er9.

Unit cell a=5.384 b=8.319 c=10.599 alpha=97.06 beta=100.60 gamma=98.42
Space group P1 (No. 1)
Unique sites:
Nd1 0.000 0.000 0.000 (multiplicity 1)
Nd2 0.032 0.959 0.483 (multiplicity 1)
Y1 0.226 0.574 0.576 (multiplicity 1)
Y2 0.516 0.980 0.242 (multiplicity 1)
Y3 0.807 0.385 0.907 (multiplicity 1)
Er1 0.036 0.292 0.307 (multiplicity 1)
Er2 0.191 0.264 0.753 (multiplicity 1)
Er3 0.407 0.675 0.942 (multiplicity 1)
Er4 0.427 0.350 0.105 (multiplicity 1)
Er5 0.518 0.980 0.741 (multiplicity 1)
Er6 0.606 0.609 0.378 (multiplicity 1)
Er7 0.626 0.285 0.541 (multiplicity 1)
Er8 0.842 0.694 0.730 (multiplicity 1)
Er9 0.997 0.667 0.176 (multiplicity 1)

Properties
ΔE_f	0.179	eV/atom
electronic total energy	-67.490	eV for the cell shown
crystal system	triclinic
M_tot	0.0	μB per formula unit

---

9.
## Nd12Y6Er (PBE)

Data for an optimized crystal structure of Nd12Y6Er.

Unit cell a=12.2416 b=12.2416 c=15.2977 alpha=90.00 beta=90.00 gamma=120.00
Space group R-3 (No. 148, hexagonal axes)
Unique sites:
Nd1 0.0026 0.8300 0.1916 (multiplicity 18)
Nd2 0.0474 0.8503 0.4165 (multiplicity 18)
Y1 0.0158 0.4269 0.6878 (multiplicity 18)
Er1 0.0000 0.0000 0.0000 (multiplicity 3)

Properties
ΔE_f	0.132	eV/atom
electronic total energy	-294.137	eV for the cell shown
crystal system	trigonal
M_tot	0.0	μB per formula unit

---

10.
## Nd3Y8Er3 (PBE)

Data for an optimized crystal structure of Nd3Y8Er3.

Unit cell a=5.683 b=10.831 c=15.080 alpha=90.00 beta=90.00 gamma=90.00
Space group Immm (No. 71)
Unique sites:
Nd1 0.000 0.000 0.000 (multiplicity 2)
Nd2 0.000 0.500 0.319 (multiplicity 4)
Y1 0.000 0.160 0.280 (multiplicity 8)
Y2 0.000 0.342 0.102 (multiplicity 8)
Er1 0.000 0.000 0.500 (multiplicity 2)
Er2 0.000 0.296 0.500 (multiplicity 4)

Properties
ΔE_f	0.113	eV/atom
electronic total energy	-156.233	eV for the cell shown
crystal system	orthorhombic
M_tot	0.0	μB per formula unit

---

11.
## NdY3Er7 (PBE)

Data for an optimized crystal structure of NdY3Er7.

Unit cell a=6.952 b=5.518 c=9.878 alpha=90.00 beta=110.11 gamma=90.00
Space group P2/m (No. 10)
Unique sites:
Nd1 0.000 0.000 0.000 (multiplicity 1)
Y1 0.277 0.500 0.498 (multiplicity 2)
Y2 0.500 0.000 0.000 (multiplicity 1)
Er1 0.000 0.000 0.500 (multiplicity 1)
Er2 0.148 0.500 0.791 (multiplicity 2)
Er3 0.324 0.500 0.143 (multiplicity 2)
Er4 0.422 0.000 0.332 (multiplicity 2)

Properties
ΔE_f	0.160	eV/atom
electronic total energy	-54.336	eV for the cell shown
crystal system	monoclinic
M_tot	0.0	μB per formula unit

---

12.
## Nd3Y8Er (PBE)

Data for an optimized crystal structure of Nd3Y8Er.

Unit cell a=12.693 b=11.445 c=6.343 alpha=90.00 beta=119.92 gamma=90.00
Space group Cm (No. 8)
Unique sites:
Nd1 0.000 0.000 0.000 (multiplicity 2)
Nd2 0.168 0.252 0.332 (multiplicity 4)
Y1 0.000 0.250 0.664 (multiplicity 4)
Y2 0.001 0.500 0.999 (multiplicity 2)
Y3 0.167 0.500 0.666 (multiplicity 2)
Y4 0.168 0.000 0.665 (multiplicity 2)
Y5 0.333 0.249 0.000 (multiplicity 4)
Y6 0.334 0.000 0.333 (multiplicity 2)
Er1 0.333 0.500 0.332 (multiplicity 2)

Properties
ΔE_f	0.011	eV/atom
electronic total energy	-140.902	eV for the cell shown
crystal system	monoclinic
M_tot	0.0	μB per formula unit